--- w ---
Here is a relaxed structure of ZnGaTc2 from the Alexandria database. Energies are from PBE.

```
ZnGaTc2
1.0
0.000 3.054 3.054
3.054 0.000 3.054
3.054 3.054 0.000
Zn Ga Tc
1 1 2
Cartesian
0.000 0.000 0.000 Zn
3.054 3.054 3.054 Ga
1.527 1.527 1.527 Tc
4.581 4.581 4.581 Tc
```

Crystal system: cubic
SG: Fm-3m (225)

--- x ---
Here is a relaxed structure of ZnGaTc2 from the Alexandria database. Energies are from PBE.

```
ZnGaTc2
1.0
-3.471 3.471 2.603
3.471 -3.471 2.603
3.471 3.471 -2.603
Zn Ga Tc
2 2 4
Cartesian
0.000 0.000 0.000 Zn
0.000 3.471 1.301 Zn
3.471 0.000 1.301 Ga
0.000 0.000 2.603 Ga
1.735 -1.640 1.952 Tc
1.831 1.735 0.651 Tc
1.735 5.111 -0.651 Tc
1.640 1.735 3.253 Tc
```

Crystal system: tetragonal
SG: I-42d (122)

w takes first place; second place is 361 meV/atom up.

--- w ---
Here is a relaxed structure of Zn6GaTc from the Alexandria database. Energies are from PBE.

```
Zn6GaTc
1.0
3.632 -2.619 0.000
3.632 2.619 0.000
-1.544 0.000 7.059
Zn Ga Tc
6 1 1
Cartesian
1.940 1.306 1.438 Zn
0.327 0.000 3.046 Zn
3.780 1.306 5.621 Zn
1.940 -1.306 1.438 Zn
5.393 0.000 4.013 Zn
3.780 -1.306 5.621 Zn
0.000 0.000 0.000 Ga
2.860 0.000 3.529 Tc
```

Crystal system: monoclinic
SG: C2/m (12)

--- x ---
Here is a relaxed structure of Zn6GaTc from the Alexandria database. Energies are from PBE.

```
Zn6GaTc
1.0
2.576 -4.462 0.000
2.576 4.462 0.000
-0.010 0.000 5.236
Zn Ga Tc
6 1 1
Cartesian
0.004 0.000 1.250 Zn
1.292 2.234 1.250 Zn
3.850 2.234 3.986 Zn
1.292 -2.234 1.250 Zn
3.850 -2.234 3.986 Zn
5.138 0.000 3.986 Zn
2.571 0.000 2.618 Ga
2.576 0.000 0.000 Tc
```

Crystal system: monoclinic
SG: C2/m (12)

x takes first place; second place is 223 meV/atom up.

--- w ---
Here is a relaxed structure of ZnGaTc from the Alexandria database. Energies are from PBE.

```
ZnGaTc
1.0
4.402 0.000 0.000
-2.201 3.812 0.000
0.000 0.000 2.689
Zn Ga Tc
1 1 1
Cartesian
0.000 0.000 0.000 Zn
0.000 2.541 1.344 Ga
2.201 1.271 0.000 Tc
```

Crystal system: hexagonal
SG: P-6m2 (187)

--- x ---
Here is a relaxed structure of ZnGaTc from the Alexandria database. Energies are from PBE.

```
ZnGaTc
1.0
4.294 0.000 0.000
-2.147 3.718 0.000
0.000 0.000 2.692
Zn Ga Tc
1 1 1
Cartesian
0.000 0.000 0.000 Zn
0.000 2.479 0.000 Ga
2.147 1.239 1.346 Tc
```

Crystal system: hexagonal
SG: P-6m2 (187)

x takes first place; second place is 204 meV/atom up.

--- w ---
Here is a relaxed structure of ZnGaTc from the Alexandria database. Energies are from PBE.

```
ZnGaTc
1.0
-1.590 1.590 4.365
1.590 -1.590 4.365
1.590 1.590 -4.365
Zn Ga Tc
1 1 1
Cartesian
0.000 0.000 0.000 Zn
0.000 0.000 5.929 Ga
0.000 0.000 2.905 Tc
```

Crystal system: tetragonal
SG: I4mm (107)

--- x ---
Here is a relaxed structure of ZnGaTc from the Alexandria database. Energies are from PBE.

```
ZnGaTc
1.0
-2.666 3.204 3.163
2.666 -3.204 3.163
2.666 3.204 -3.163
Zn Ga Tc
2 2 2
Cartesian
0.000 0.000 0.000 Zn
0.000 3.204 0.000 Zn
2.667 0.000 0.002 Ga
2.666 3.204 0.002 Ga
-1.333 1.602 1.581 Tc
1.333 1.602 1.581 Tc
```

Crystal system: orthorhombic
SG: Imma (74)

x takes first place; second place is 123 meV/atom up.

--- w ---
Here is a relaxed structure of ZrGa3Tc from the Alexandria database. Energies are from PBE.

```
ZrGa3Tc
1.0
4.691 0.000 0.000
0.000 4.691 0.000
0.000 0.000 4.691
Zr Ga Tc
1 3 1
Cartesian
0.000 0.000 0.000 Zr
0.000 2.345 2.345 Ga
2.345 0.000 2.345 Ga
2.345 2.345 0.000 Ga
2.345 2.345 2.345 Tc
```

Crystal system: cubic
SG: Pm-3m (221)

--- x ---
Here is a relaxed structure of ZrGa3Tc from the Alexandria database. Energies are from PBE.

```
ZrGa3Tc
1.0
4.516 0.000 0.000
0.000 5.405 0.000
0.000 0.000 7.421
Zr Ga Tc
2 6 2
Cartesian
1.129 1.351 1.738 Zr
3.387 4.054 5.683 Zr
1.129 0.121 5.012 Ga
1.129 2.582 5.012 Ga
1.129 4.054 0.281 Ga
3.387 1.351 7.140 Ga
3.387 2.823 2.410 Ga
3.387 5.285 2.410 Ga
1.129 4.054 2.868 Tc
3.387 1.351 4.554 Tc
```

Crystal system: orthorhombic
SG: Pmmn (59)

x takes first place; second place is 399 meV/atom up.

--- w ---
Here is a relaxed structure of ZrGaTc from the Alexandria database. Energies are from PBE.

```
ZrGaTc
1.0
4.910 -2.073 0.000
4.910 2.073 0.000
-0.166 0.000 5.344
Zr Ga Tc
2 2 2
Cartesian
0.000 0.000 0.000 Zr
5.624 0.000 2.674 Zr
2.504 0.000 3.879 Ga
8.595 0.000 2.619 Ga
2.756 0.000 1.275 Tc
7.000 0.000 0.168 Tc
```

Crystal system: monoclinic
SG: Cm (8)

--- x ---
Here is a relaxed structure of ZrGaTc from the Alexandria database. Energies are from PBE.

```
ZrGaTc
1.0
4.353 0.000 0.000
-2.177 3.770 0.000
0.000 0.000 3.280
Zr Ga Tc
1 1 1
Cartesian
0.000 0.000 0.000 Zr
2.177 1.257 1.609 Ga
0.000 2.513 1.461 Tc
```

Crystal system: trigonal
SG: P3m1 (156)

w takes first place; second place is 130 meV/atom up.